Compound: Li3AlRh
Source: the Alexandria database
Functional: PBE-GGA
Structure: relaxed

Cell and atoms, written as POSCAR:
```
Li3AlRh
1.0
4.543 0.000 0.000
0.000 4.543 0.000
0.000 0.000 4.543
Li Al Rh
3 1 1
direct
0.000 0.000 0.500
0.000 0.500 0.000
0.500 0.000 0.000
0.000 0.000 0.000
0.500 0.500 0.500
```

Properties
calculated formation energy: 0.772 eV/atom
N(E_F): 4.59 states/eV/f.u.
total magnetic moment: 0.0 μB/cell
E above lowest polymorph: 405 meV/atom